Crystalline HgRh3I at its relaxed geometry, computed with PBE.

Crystal system: cubic
Fermi-level density of states: 7.99 states/eV/cell
Total moment: 0.00 μB per formula unit
Formation energy from raw total energies: 1.016 eV/atom
Theoretical density: 9279 kg/m3
ΔE to the lowest computed polymorph: 0.0 meV/atom

Cell and atoms, written as CIF:
```
data_HgRh3I
_chemical_formula_sum 'Hg1 Rh3 I1'
_space_group_name_H-M_alt 'P m -3 m'
_space_group_IT_number 221
_space_group_name_Hall '-P 4 2 3'
_cell_length_a 4.847
_cell_length_b 4.847
_cell_length_c 4.847
_cell_angle_alpha 90.00
_cell_angle_beta 90.00
_cell_angle_gamma 90.00
loop_
_atom_site_label
_atom_site_type_symbol
_atom_site_fract_x
_atom_site_fract_y
_atom_site_fract_z
Hg1 Hg 0.000 0.000 0.000
Rh1 Rh 0.000 0.500 0.500
I1 I 0.500 0.500 0.500
```

Crystalline Y2ScPd at its relaxed geometry, computed with PBE.

Crystal system: cubic
Formation energy: -179 meV/atom
Fermi-level density of states: 19.97 states/eV/cell
Total moment: 0.00 μB per formula unit
Theoretical density: 5576 kg/m3
ΔE to the lowest computed polymorph: 207.2 meV/atom

Cell and atoms, written as CIF:
```
data_Y2ScPd
_chemical_formula_sum 'Y8 Sc4 Pd4'
_space_group_name_H-M_alt 'F m -3 m'
_space_group_IT_number 225
_space_group_name_Hall '-F 4 2 3'
_cell_length_a 7.319
_cell_length_b 7.319
_cell_length_c 7.319
_cell_angle_alpha 90.00
_cell_angle_beta 90.00
_cell_angle_gamma 90.00
loop_
_atom_site_label
_atom_site_type_symbol
_atom_site_fract_x
_atom_site_fract_y
_atom_site_fract_z
Y1 Y 0.250 0.250 0.250
Sc1 Sc 0.000 0.000 0.000
Pd1 Pd 0.000 0.000 0.500
```

Crystalline Cu2CO at its relaxed geometry, computed with PBE.

Crystal system: tetragonal
Fermi-level density of states: 6.65 states/eV/cell
Total moment: 0.00 μB per formula unit
Formation energy from raw total energies: 0.521 eV/atom
Theoretical density: 5879 kg/m3
ΔE to the lowest computed polymorph: 0.0 meV/atom

Cell and atoms, written as CIF:
```
data_Cu2CO
_chemical_formula_sum 'Cu8 C4 O4'
_space_group_name_H-M_alt 'I -4 2 d'
_space_group_IT_number 122
_space_group_name_Hall 'I -4 2bw'
_cell_length_a 4.818
_cell_length_b 4.818
_cell_length_c 7.550
_cell_angle_alpha 90.00
_cell_angle_beta 90.00
_cell_angle_gamma 90.00
loop_
_atom_site_label
_atom_site_type_symbol
_atom_site_fract_x
_atom_site_fract_y
_atom_site_fract_z
Cu1 Cu 0.236 0.250 0.125
C1 C 0.000 0.000 0.000
O1 O 0.000 0.000 0.500
```